Entry 1:
Below is a relaxed Cs2TaOsS6 crystal, with properties calculated at the PBE level.

a b c (Å): 6.852 6.852 6.852
angles (deg): 60.00 60.00 90.00
Fractional coordinates of all 10 atoms:
Cs1 0.250 0.750 0.500
Cs2 0.750 0.250 0.500
Os1 0.500 0.500 0.000
S1 0.747 0.253 0.000
S2 0.253 0.253 0.000
S3 0.253 0.747 0.000
S4 0.747 0.747 0.000
S5 0.253 0.253 0.495
S6 0.747 0.747 0.505
Ta1 0.000 0.000 0.000



Entry 2:
Below is a relaxed CdHgSO crystal, with properties calculated at the PBE level.

a b c (Å): 4.832 4.832 7.925
angles (deg): 90.00 90.00 90.00
Fractional coordinates of all 8 atoms:
Cd1 0.750 0.250 0.000
Cd2 0.250 0.750 0.000
Hg1 0.750 0.750 0.318
Hg2 0.250 0.250 0.682
O1 0.250 0.250 0.347
O2 0.750 0.750 0.653
S1 0.250 0.250 0.153
S2 0.750 0.750 0.847

Computed properties:
The value obtained for the offset from the most stable computed form is 274 meV per atom.



Entry 3:
Below is a relaxed CsFe crystal, with properties calculated at the PBE level.

a b c (Å): 5.292 5.292 5.292
angles (deg): 60.00 60.00 60.00
Site moments in Bohr magnetons follow the coordinates.
Fractional coordinates of all 2 atoms:
Cs1 0.000 0.000 0.000  -0.02
Fe1 0.500 0.500 0.500  3.11

Computed properties:
The value obtained for the offset from the most stable computed form is 0 meV per atom.



Calculated DFT total energy, -5.457, -2.805, -2.928 eV per atom (same order as the records).
Calculated mass density, 6.1, 6.5, 3.0 g/cm3 (same order as the records).